VASP calculation (GGA-PBE) on a relaxed structure of La4BiC. Values from VASP.

Summary:
The value obtained for the energy of formation from the pure elements is -327 meV per atom. Its energy above the most stable polymorph in this dataset is 1.1 kJ/mol of atoms. Its magnetic moment is 0.00 μB per atom.

Geometry as Quantum ESPRESSO input:
```
&SYSTEM
  ibrav = 0, nat = 12, ntyp = 3
/
ATOMIC_SPECIES
La 138.91 La.upf
Bi 208.98 Bi.upf
C 12.01 C.upf
CELL_PARAMETERS angstrom
-5.952 2.614 -0.213
-7.759 -2.661 5.501
-1.845 3.736 8.071
ATOMIC_POSITIONS crystal
La 0.866 0.251 0.904
La 0.093 0.054 0.618
La 0.634 0.845 0.904
La 0.407 0.328 0.618
La 0.593 0.672 0.382
La 0.366 0.155 0.096
La 0.907 0.946 0.382
La 0.134 0.749 0.096
Bi 0.750 0.386 0.228
Bi 0.250 0.614 0.772
C 0.250 0.929 0.142
C 0.750 0.071 0.858
```